# KMnPt2

KMnPt2 after structural relaxation (PBE-GGA, Alexandria via LeMat-Bulk).

The calculation puts the formation energy at 0.2781 eV/atom. The calculation puts the density of states at the Fermi level at 0.553 states/eV per atom. The value obtained for the total magnetic moment is 9.0 μB per cell.

The structure belongs to space group Cmmm (No. 65); the cell edges are 6.004, 8.518 and 2.848 Å and the angles 90.00°, 90.00° and 90.00°. The inequivalent atoms are K at (0.000, 0.000, 0.000), Mn at (0.000, 0.500, 0.000) and Pt at (0.250, 0.250, 0.500).

# K2Mn2Pt

K2Mn2Pt after structural relaxation (PBE-GGA, Alexandria via LeMat-Bulk).

For the energy above the most stable polymorph in this dataset, the calculation gives 0 meV per atom. The calculation puts the formation energy at 1.1441 eV/atom. The calculation puts the density of states at the Fermi level at 0.749 states/eV per atom. The value obtained for the total magnetic moment is 17.4 μB per cell.

The structure belongs to space group I4/mmm (No. 139); the cell edges are 3.879, 3.879 and 15.575 Å and the angles 90.00°, 90.00° and 90.00°. The inequivalent atoms are K at (0.000, 0.500, 0.250), Mn at (0.000, 0.000, 0.076) and Pt at (0.000, 0.000, 0.500).

# KMnPt

KMnPt after structural relaxation (PBE-GGA, Alexandria via LeMat-Bulk).

For the energy above the most stable polymorph in this dataset, the calculation gives 358 meV per atom. The calculation puts the formation energy at 0.3534 eV/atom. The calculation puts the density of states at the Fermi level at 0.765 states/eV per atom. The value obtained for the total magnetic moment is 1.0 μB per cell.

The structure belongs to space group P1 (No. 1); the cell edges are 2.893, 5.678 and 8.012 Å and the angles 94.34°, 100.04° and 90.01°. The inequivalent atoms are K at (0.000, 0.000, 0.000), K at (0.168, 0.519, 0.286), Mn at (0.325, 0.244, 0.648), Mn at (0.878, 0.466, 0.759), Pt at (0.325, 0.785, 0.649) and Pt at (0.712, 0.036, 0.409).

Result set for calculated volume: 18.21; 23.43; 21.54 Å³/atom, one per record in the order listed.